# TeMoAu3 PBE-GGA optimized geometry
data_TeMoAu3
_chemical_formula_sum 'Te1 Mo1 Au3'
_cell_length_a 5.060
_cell_length_b 5.060
_cell_length_c 5.060
_cell_angle_alpha 90.00
_cell_angle_beta 90.00
_cell_angle_gamma 90.00
_space_group_name_H-M_alt 'P m -3 m'
_space_group_IT_number 221
_space_group_name_Hall '-P 4 2 3'
loop_
_atom_site_label
_atom_site_type_symbol
_atom_site_fract_x
_atom_site_fract_y
_atom_site_fract_z
_atom_site_occupancy
Te1 Te 0.000 0.000 0.000 1
Mo1 Mo 0.500 0.500 0.500 1
Au1 Au 0.000 0.500 0.500 1
# Energy relative to the lowest polymorph listed for this composition (eV per atom): 0.0000
# Calculated volume (Å³/cell): 129.5
# Spin magnetization (Bohr magnetons per cell): 0.00

# KBPt3 PBE-GGA optimized geometry
data_KBPt3
_chemical_formula_sum 'K1 B1 Pt3'
_cell_length_a 4.983
_cell_length_b 4.983
_cell_length_c 4.983
_cell_angle_alpha 90.00
_cell_angle_beta 90.00
_cell_angle_gamma 90.00
_space_group_name_H-M_alt 'P m -3 m'
_space_group_IT_number 221
_space_group_name_Hall '-P 4 2 3'
loop_
_atom_site_label
_atom_site_type_symbol
_atom_site_fract_x
_atom_site_fract_y
_atom_site_fract_z
_atom_site_occupancy
K1 K 0.000 0.000 0.000 1
B1 B 0.500 0.500 0.500 1
Pt1 Pt 0.000 0.000 0.500 1
# Formation enthalpy at 0 K (kJ/mol of atoms): 280.3
# Calculated volume (Å³/cell): 123.7
# Spin magnetization (Bohr magnetons per cell): 0.00

# Cs2NpCo2S4 PBE-GGA optimized geometry
data_Cs2NpCo2S4
_chemical_formula_sum 'Cs4 Np2 Co4 S8'
_cell_length_a 14.368
_cell_length_b 3.891
_cell_length_c 8.230
_cell_angle_alpha 90.00
_cell_angle_beta 107.98
_cell_angle_gamma 90.00
_space_group_name_H-M_alt 'C 1 2/m 1'
_space_group_IT_number 12
loop_
_space_group_symop_operation_xyz
'x,y,z'
'-x,-y,-z'
'-x,y,-z'
'x,-y,z'
'x+1/2,y+1/2,z'
'-x+1/2,-y+1/2,-z'
'-x+1/2,y+1/2,-z'
'x+1/2,-y+1/2,z'
loop_
_atom_site_label
_atom_site_type_symbol
_atom_site_fract_x
_atom_site_fract_y
_atom_site_fract_z
_atom_site_occupancy
Cs1 Cs 0.139 0.000 0.060 1
Np1 Np 0.000 0.000 0.500 1
Co1 Co 0.183 0.500 0.485 1
S1 S 0.028 0.500 0.290 1
S2 S 0.197 0.000 0.642 1
# Total energy (eV per atom): -5.981
# Calculated volume (Å³/cell): 437.6
# Spin magnetization (Bohr magnetons per cell): 1.42

# Cs2AgC PBE-GGA optimized geometry
data_Cs2AgC
_chemical_formula_sum 'Cs8 Ag4 C4'
_cell_length_a 8.674
_cell_length_b 8.674
_cell_length_c 8.674
_cell_angle_alpha 90.00
_cell_angle_beta 90.00
_cell_angle_gamma 90.00
_space_group_name_H-M_alt 'F m -3 m'
_space_group_IT_number 225
_space_group_name_Hall '-F 4 2 3'
loop_
_atom_site_label
_atom_site_type_symbol
_atom_site_fract_x
_atom_site_fract_y
_atom_site_fract_z
_atom_site_occupancy
Cs1 Cs 0.250 0.250 0.250 1
Ag1 Ag 0.000 0.000 0.000 1
C1 C 0.000 0.000 0.500 1
# Formation enthalpy at 0 K (kJ/mol of atoms): 118.2
# Calculated volume (Å³/cell): 652.7
# Spin magnetization (Bohr magnetons per cell): 12.00

# Rb2Cu2TeS4 PBE-GGA optimized geometry
data_Rb2Cu2TeS4
_chemical_formula_sum 'Rb4 Cu4 Te2 S8'
_cell_length_a 14.765
_cell_length_b 3.992
_cell_length_c 7.745
_cell_angle_alpha 90.00
_cell_angle_beta 109.83
_cell_angle_gamma 90.00
_space_group_name_H-M_alt 'C 1 2/m 1'
_space_group_IT_number 12
loop_
_space_group_symop_operation_xyz
'x,y,z'
'-x,-y,-z'
'-x,y,-z'
'x,-y,z'
'x+1/2,y+1/2,z'
'-x+1/2,-y+1/2,-z'
'-x+1/2,y+1/2,-z'
'x+1/2,-y+1/2,z'
loop_
_atom_site_label
_atom_site_type_symbol
_atom_site_fract_x
_atom_site_fract_y
_atom_site_fract_z
_atom_site_occupancy
Rb1 Rb 0.137 0.000 0.057 1
Cu1 Cu 0.191 0.500 0.495 1
Te1 Te 0.000 0.000 0.500 1
S1 S 0.026 0.500 0.283 1
S2 S 0.196 0.000 0.666 1
# Total energy (eV per atom): -3.796
# Calculated volume (Å³/cell): 429.4
# Spin magnetization (Bohr magnetons per cell): 0.00

# Na4Pu3AlO8 PBE-GGA optimized geometry
data_Na4Pu3AlO8
_chemical_formula_sum 'Na12 Pu9 Al3 O24'
_cell_length_a 6.7539
_cell_length_b 6.7539
_cell_length_c 16.7510
_cell_angle_alpha 90.00
_cell_angle_beta 90.00
_cell_angle_gamma 120.00
_space_group_name_H-M_alt 'R -3 m'
_space_group_IT_number 166
_space_group_name_Hall '-R 3 2"'
loop_
_atom_site_label
_atom_site_type_symbol
_atom_site_fract_x
_atom_site_fract_y
_atom_site_fract_z
_atom_site_occupancy
Na1 Na 0.0000 0.0000 0.0000 1
Na2 Na 0.0000 0.5000 0.0000 1
Pu1 Pu 0.0000 0.5000 0.5000 1
Al1 Al 0.0000 0.0000 0.5000 1
O1 O 0.0000 0.0000 0.2418 1
O2 O 0.0398 0.5199 0.2330 1
# Total energy (eV per atom): -8.043
# Calculated volume (Å³/cell): 661.7
# Spin magnetization (Bohr magnetons per cell): 44.91

Q: What is the formula in the sixth record?
A: Na4Pu3AlO8